Record 1
First-principles (PBE) data for LiAlTe after structural relaxation, as listed in Alexandria via LeMat-Bulk.

Relative energy among the computed polymorphs = 198 meV per atom

Geometry as extended XYZ:
```
3
Lattice="5.0939 0.0000 0.0000 -2.5469 4.4114 0.0000 0.0000 0.0000 2.9998" Properties=species:S:1:pos:R:3 pbc="T T T"
Li 0.0000 0.0000 0.0000
Al 0.0000 2.9410 1.5077
Te 2.5470 1.4705 1.5044
```

Record 2
First-principles (PBE) data for RbPb11 after structural relaxation, as listed in Alexandria via LeMat-Bulk.

Energy relative to the elements = 0.2 eV/f.u.

Geometry as extended XYZ:
```
12
Lattice="11.4426 0.0000 0.0000 -5.7213 9.9096 0.0000 0.0000 0.0000 3.4713" Properties=species:S:1:pos:R:3 pbc="T T T"
Rb 0.0000 0.0000 0.0000
Pb -2.8607 4.9548 0.0000
Pb 0.0000 3.5572 1.7357
Pb -2.6407 8.1310 1.7357
Pb 0.0000 6.6064 0.0000
Pb 3.0806 1.7786 1.7357
Pb 5.7213 0.0000 0.0000
Pb 2.8607 4.9548 0.0000
Pb 2.6407 8.1310 1.7357
Pb 5.7213 3.3032 0.0000
Pb 8.3620 1.7786 1.7357
Pb 5.7213 6.3524 1.7357
```

Record 3
First-principles (PBE) data for SnTeN2O after structural relaxation, as listed in Alexandria via LeMat-Bulk.

Geometry as extended XYZ:
```
5
Lattice="4.0903 0.0000 0.0000 0.0000 4.0903 0.0000 0.0000 0.0000 4.0597" Properties=species:S:1:pos:R:3 pbc="T T T"
Sn 0.0000 0.0000 0.0000
Te 2.0451 2.0451 2.0298
N 0.0000 2.0451 2.0298
N 2.0451 0.0000 2.0298
O 2.0451 2.0451 0.0000
```

Record 4
First-principles (PBE) data for NbSiP after structural relaxation, as listed in Alexandria via LeMat-Bulk.

Geometry as extended XYZ:
```
6
Lattice="4.3664 -1.6361 0.0000 4.3664 1.6361 0.0000 -2.5516 0.0000 6.1189" Properties=species:S:1:pos:R:3 pbc="T T T"
Nb -0.6327 0.0000 1.6014
Nb 6.8139 0.0000 4.5175
Si 0.5772 0.0000 5.6585
Si 5.6039 0.0000 0.4604
P 1.8893 0.0000 2.4713
P 4.2919 0.0000 3.6475
```

In eV per atom, the E_tot values for the records above are, in order, -3.020, -3.459, -5.160, -7.537.